AcLa3PmSm: relaxed, GGA-PBE.

```
AcLa3PmSm
1.0
10.607 -3.001 0.000
10.607 3.001 0.000
-0.157 0.000 7.111
Ac La Pm Sm
2 6 2 2
direct
0.149 0.149 0.041
0.851 0.851 0.959
0.016 0.016 0.753
0.281 0.281 0.716
0.342 0.342 0.244
0.658 0.658 0.756
0.719 0.719 0.284
0.984 0.984 0.247
0.443 0.443 0.719
0.557 0.557 0.281
0.140 0.140 0.500
0.860 0.860 0.500
```

## Properties
For the energy relative to the elements, the calculation gives 167 meV per atom. The value obtained for the magnetization is 0.000 μB per atom.